[1]
La4Tl2Ag after structural relaxation, computed with PBE-GGA.

## Properties
Crystal system ... trigonal
Final energy ... -0.30438 Ry per atom
DOS(E_F) ... 9.4 states/eV/f.u.
E_form ... -0.242 eV/atom
Total magnetic moment ... 1.1 μB/f.u.

POSCAR file:
```
La4Tl2Ag
1.0
-5.427 -0.939 -0.315
-2.325 -3.846 3.200
-4.008 4.517 7.273
Tl La Ag
2 4 1
Direct
0.249 0.249 0.252
0.751 0.751 0.748
0.875 0.875 0.375
0.125 0.125 0.625
0.376 0.376 0.872
0.624 0.624 0.128
0.000 0.000 0.000
```

***

[2]
TlNi2Ir after structural relaxation, computed with PBE-GGA.

## Properties
Crystal system ... tetragonal
Final energy ... -0.39431 Ry per atom
DOS(E_F) ... 5.8 states/eV/f.u.
Energy above the lowest structure with this stoichiometry ... 0.0380 eV/atom
E_form ... 0.333 eV/atom
Total magnetic moment ... 0.0 μB/f.u.

POSCAR file:
```
TlNi2Ir
1.0
4.568 -0.009 0.000
1.001 4.457 0.000
-2.785 -2.224 2.858
Ni Tl Ir
2 1 1
Direct
0.000 0.000 0.000
0.500 0.500 0.000
0.250 0.750 0.500
0.750 0.250 0.500
```